1.
A geometry-optimized TaGeTe2N structure. Source: the Alexandria database, functional PBE.

Cell: 5.4861 5.4861 3.5029 Å, 90.00 90.00 90.00°
Element x y z (fractional)
Ta: 0.0000 0.0000 0.0000
Ge: 0.5000 0.5000 0.5000
Te: 0.0000 0.5000 0.5000
Te: 0.5000 0.0000 0.5000
N: 0.5000 0.5000 0.0000

Summary:
Formation energy without anion corrections   1.04 eV per atom
Energy relative to the lowest polymorph listed for this composition   0.864 eV/atom
E   -25.9 eV per formula unit
Magnetization   0.0 μB/cell


2.
A geometry-optimized Tl2ZnPb structure. Source: the Alexandria database, functional PBE.

Cell: 7.6645 7.6645 7.6645 Å, 90.00 90.00 90.00°
Element x y z (fractional)
Tl: 0.2500 0.2500 0.2500
Tl: 0.2500 0.2500 0.7500
Tl: 0.2500 0.7500 0.2500
Tl: 0.2500 0.7500 0.7500
Tl: 0.7500 0.2500 0.2500
Tl: 0.7500 0.2500 0.7500
Tl: 0.7500 0.7500 0.2500
Tl: 0.7500 0.7500 0.7500
Zn: 0.0000 0.0000 0.0000
Zn: 0.0000 0.5000 0.5000
Zn: 0.5000 0.0000 0.5000
Zn: 0.5000 0.5000 0.0000
Pb: 0.0000 0.0000 0.5000
Pb: 0.0000 0.5000 0.0000
Pb: 0.5000 0.0000 0.0000
Pb: 0.5000 0.5000 0.5000

Summary:
Formation enthalpy at 0 K   0.6 eV per formula unit
Energy relative to the lowest polymorph listed for this composition   0.071 eV/atom
E   -9.1 eV per formula unit
Magnetization   0.0 μB/cell


3.
A geometry-optimized TaAs2Ir structure. Source: the Alexandria database, functional PBE.

Cell: 2.9088 4.1028 5.6135 Å, 90.00 90.00 90.00°
Element x y z (fractional)
Ta: 0.0000 0.0000 0.0000
As: 0.0000 0.0000 0.5375
As: 0.5000 0.5000 0.1904
Ir: 0.5000 0.5000 0.7293

Summary:
Formation enthalpy at 0 K   -0.6 eV per formula unit
Energy relative to the lowest polymorph listed for this composition   0.060 eV/atom
E   -30.6 eV per formula unit
Magnetization   0.0 μB/cell


4.
A geometry-optimized PmLuHgIr structure. Source: the Alexandria database, functional PBE.

Cell: 7.1517 7.1517 7.1517 Å, 90.00 90.00 90.00°
Element x y z (fractional)
Pm: 0.0000 0.0000 0.0000
Pm: 0.0000 0.5000 0.5000
Pm: 0.5000 0.0000 0.5000
Pm: 0.5000 0.5000 0.0000
Lu: 0.0000 0.0000 0.5000
Lu: 0.0000 0.5000 0.0000
Lu: 0.5000 0.0000 0.0000
Lu: 0.5000 0.5000 0.5000
Hg: 0.2500 0.2500 0.7500
Hg: 0.2500 0.7500 0.2500
Hg: 0.7500 0.2500 0.2500
Hg: 0.7500 0.7500 0.7500
Ir: 0.2500 0.2500 0.2500
Ir: 0.2500 0.7500 0.7500
Ir: 0.7500 0.2500 0.7500
Ir: 0.7500 0.7500 0.2500

Summary:
Formation enthalpy at 0 K   -2.3 eV per formula unit
E   -20.8 eV per formula unit
Magnetization   0.0 μB/cell


5.
A geometry-optimized SrBi2SbO8 structure. Source: the Alexandria database, functional PBE.

Cell: 5.0671 7.0457 5.0700 Å, 90.00 92.48 90.00°
Element x y z (fractional)
Sr: 0.0000 0.0000 0.0000
Bi: 0.5000 0.2551 0.5000
Bi: 0.5000 0.7449 0.5000
Sb: 0.0000 0.5000 0.0000
O: 0.1912 0.2895 0.1900
O: 0.1912 0.7105 0.1900
O: 0.2898 0.5000 0.7091
O: 0.3249 0.0000 0.6723
O: 0.6751 0.0000 0.3277
O: 0.7102 0.5000 0.2909
O: 0.8088 0.2895 0.8100
O: 0.8088 0.7105 0.8100

Summary:
Formation energy without anion corrections   -1.36 eV per atom
E   -69.5 eV per formula unit
Magnetization   0.0 μB/cell


6.
A geometry-optimized Pr4GeTe2As structure. Source: the Alexandria database, functional PBE.

Cell: 7.6253 4.4051 7.7898 Å, 90.00 109.02 90.00°
Element x y z (fractional)
Pr: 0.2397 0.0000 0.2246
Pr: 0.2571 0.5000 0.7768
Pr: 0.7429 0.5000 0.2232
Pr: 0.7603 0.0000 0.7754
Ge: 0.0000 0.5000 0.0000
Te: 0.0000 0.0000 0.5000
Te: 0.5000 0.5000 0.5000
As: 0.5000 0.0000 0.0000

Summary:
Formation energy without anion corrections   -1.40 eV per atom
E   -45.8 eV per formula unit
Magnetization   0.0 μB/cell